# AlPtWAu2 (SCAN, PBEsol geometry)
data_AlPtWAu2
_cell_length_a 4.8400
_cell_length_b 4.8400
_cell_length_c 4.8394
_cell_angle_alpha 90.00
_cell_angle_beta 90.00
_cell_angle_gamma 90.00
_space_group_name_H-M_alt 'P 4/m m m'
_space_group_IT_number 123
_space_group_name_Hall '-P 4 2'
loop_
_atom_site_label
_atom_site_fract_x
_atom_site_fract_y
_atom_site_fract_z
Al1 0.0000 0.0000 0.0000
Pt1 0.5000 0.5000 0.0000
W1 0.0000 0.0000 0.5000
Au1 0.0000 0.5000 0.5000
# - DOS at the Fermi energy (states/eV per cell) = 3.5
# - energy of formation from the pure elements (eV per atom) = 1.554



# SrZrH2Pt (SCAN, PBEsol geometry)
data_SrZrH2Pt
_cell_length_a 3.9519
_cell_length_b 3.9519
_cell_length_c 6.6269
_cell_angle_alpha 90.00
_cell_angle_beta 90.00
_cell_angle_gamma 90.00
_space_group_name_H-M_alt 'P 4/m m m'
_space_group_IT_number 123
_space_group_name_Hall '-P 4 2'
loop_
_atom_site_label
_atom_site_fract_x
_atom_site_fract_y
_atom_site_fract_z
Sr1 0.0000 0.0000 0.0000
Zr1 0.0000 0.0000 0.5000
H1 0.0000 0.5000 0.5000
Pt1 0.5000 0.5000 0.0000
# - DOS at the Fermi energy (states/eV per cell) = 2.0
# - uncorrected energy (eV/atom) = -25.7074



# TeI2BrN (SCAN, PBEsol geometry)
data_TeI2BrN
_cell_length_a 6.1915
_cell_length_b 6.1915
_cell_length_c 3.6809
_cell_angle_alpha 90.00
_cell_angle_beta 90.00
_cell_angle_gamma 90.00
_space_group_name_H-M_alt 'P 4/m m m'
_space_group_IT_number 123
_space_group_name_Hall '-P 4 2'
loop_
_atom_site_label
_atom_site_fract_x
_atom_site_fract_y
_atom_site_fract_z
Te1 0.0000 0.0000 0.0000
I1 0.0000 0.5000 0.5000
Br1 0.5000 0.5000 0.5000
N1 0.5000 0.5000 0.0000
# - DOS at the Fermi energy (states/eV per cell) = 4.2
# - ΔE_f (raw) (eV per atom) = 1.3565



# TaMn3Br (SCAN, PBEsol geometry)
data_TaMn3Br
_cell_length_a 4.7197
_cell_length_b 4.7197
_cell_length_c 4.7197
_cell_angle_alpha 90.00
_cell_angle_beta 90.00
_cell_angle_gamma 90.00
_space_group_name_H-M_alt 'P m -3 m'
_space_group_IT_number 221
_space_group_name_Hall '-P 4 2 3'
loop_
_atom_site_label
_atom_site_fract_x
_atom_site_fract_y
_atom_site_fract_z
Ta1 0.0000 0.0000 0.0000
Mn1 0.0000 0.0000 0.5000
Br1 0.5000 0.5000 0.5000
# - DOS at the Fermi energy (states/eV per cell) = 4.5
# - ΔE_f (raw) (eV per atom) = 1.1236



# Zr2SiNi (SCAN, PBEsol geometry)
data_Zr2SiNi
_cell_length_a 3.7703
_cell_length_b 3.6337
_cell_length_c 9.9186
_cell_angle_alpha 90.00
_cell_angle_beta 90.00
_cell_angle_gamma 90.00
_space_group_name_H-M_alt 'A m m 2'
_space_group_IT_number 38
_space_group_name_Hall 'A 2 -2'
loop_
_atom_site_label
_atom_site_fract_x
_atom_site_fract_y
_atom_site_fract_z
Zr1 0.0000 0.0000 0.0000
Zr2 0.5000 0.0000 0.2926
Si1 0.5000 0.0000 0.5729
Ni1 0.0000 0.0000 0.7168
# - DOS at the Fermi energy (states/eV per cell) = 9.4
# - ΔE_f (raw) (eV per atom) = -0.7390



# BaLaBr (SCAN, PBEsol geometry)
data_BaLaBr
_cell_length_a 7.9915
_cell_length_b 7.9915
_cell_length_c 7.9915
_cell_angle_alpha 90.00
_cell_angle_beta 90.00
_cell_angle_gamma 90.00
_space_group_name_H-M_alt 'F -4 3 m'
_space_group_IT_number 216
_space_group_name_Hall 'F -4 2 3'
loop_
_atom_site_label
_atom_site_fract_x
_atom_site_fract_y
_atom_site_fract_z
Ba1 0.0000 0.0000 0.0000
La1 0.2500 0.2500 0.2500
Br1 0.2500 0.2500 0.7500
# - DOS at the Fermi energy (states/eV per cell) = 12.9
# - ΔE_f (raw) (eV per atom) = -0.0346